a.
The following is a GGA-PBE calculation of a relaxed CePuCd4 crystal, from Alexandria.

Properties
SG   Cmcm

Lattice parameters (Å, degrees): 5.186 6.213 9.487 70.89 90.00 90.00
Element x y z (fractional)
Ce1 0.750 0.624 0.253
Ce2 0.250 0.376 0.747
Pu1 0.750 0.126 0.248
Pu2 0.250 0.874 0.752
Cd1 0.250 0.794 0.416
Cd2 0.250 0.959 0.083
Cd3 0.750 0.710 0.584
Cd4 0.750 0.542 0.917
Cd5 0.750 0.206 0.584
Cd6 0.250 0.290 0.416
Cd7 0.750 0.041 0.917
Cd8 0.250 0.458 0.083

b.
The following is a GGA-PBE calculation of a relaxed CePuCd4 crystal, from Alexandria.

Properties
SG   F-43m

Lattice parameters (Å, degrees): 5.952 5.952 5.952 60.00 60.00 60.00
Element x y z (fractional)
Cd1 0.625 0.625 0.125
Cd2 0.625 0.125 0.625
Cd3 0.625 0.625 0.625
Cd4 0.125 0.625 0.625
Ce1 0.250 0.250 0.250
Pu1 0.000 0.000 0.000

Relative energies, unit eV/atom: a 0.000; b 0.095

a.
The following is a GGA-PBE calculation of a relaxed CePuTlCd crystal, from Alexandria.

Properties
SG   F-43m

Lattice parameters (Å, degrees): 5.424 5.424 5.424 60.00 60.00 60.00
Element x y z (fractional)
Tl1 0.750 0.750 0.750
Cd1 0.250 0.250 0.250
Ce1 0.500 0.500 0.500
Pu1 0.000 0.000 0.000

b.
The following is a GGA-PBE calculation of a relaxed CePuTlCd crystal, from Alexandria.

Properties
SG   Pmmm

Lattice parameters (Å, degrees): 4.605 4.617 4.926 90.00 90.00 90.00
Element x y z (fractional)
Ce1 0.000 0.000 0.000
Pu1 0.500 0.500 0.000
Tl1 0.000 0.500 0.500
Cd1 0.500 0.000 0.500

Relative energies, unit eV/atom: a 0.062; b 0.000

a.
The following is a GGA-PBE calculation of a relaxed Ce2Cd2Rh3 crystal, from Alexandria.

Properties
SG   C2/m

Lattice parameters (Å, degrees): 3.933 5.526 7.581 97.29 105.03 90.00
Element x y z (fractional)
Ce1 0.597 0.797 0.194
Ce2 0.403 0.203 0.806
Cd1 0.838 0.675 0.676
Cd2 0.162 0.325 0.324
Rh1 0.000 0.000 0.000
Rh2 0.785 0.172 0.570
Rh3 0.215 0.828 0.430

b.
The following is a GGA-PBE calculation of a relaxed Ce2Cd2Rh3 crystal, from Alexandria.

Properties
SG   C2/m

Lattice parameters (Å, degrees): 4.776 4.838 7.876 90.00 108.03 120.46
Element x y z (fractional)
Ce1 0.777 0.388 0.160
Ce2 0.223 0.612 0.840
Cd1 0.273 0.137 0.402
Cd2 0.727 0.863 0.598
Rh1 0.000 0.000 0.000
Rh2 0.508 0.254 0.779
Rh3 0.492 0.746 0.221

Relative energies, unit eV/atom: a 0.087; b 0.000

a.
The following is a GGA-PBE calculation of a relaxed Ce2CdRu crystal, from Alexandria.

Properties
SG   P4/mmm

Lattice parameters (Å, degrees): 4.176 4.663 4.663 90.00 90.00 90.00
Element x y z (fractional)
Ru1 0.500 0.000 0.000
Ce1 0.000 0.000 0.500
Ce2 0.000 0.500 0.000
Cd1 0.500 0.500 0.500

b.
The following is a GGA-PBE calculation of a relaxed Ce2CdRu crystal, from Alexandria.

Properties
SG   Pmma

Lattice parameters (Å, degrees): 3.282 6.466 8.727 90.00 90.00 90.00
Element x y z (fractional)
Ce1 0.500 0.976 0.209
Ce2 0.500 0.024 0.791
Ce3 0.500 0.476 0.791
Ce4 0.500 0.524 0.209
Cd1 0.000 0.250 0.493
Cd2 0.000 0.750 0.507
Ru1 0.000 0.250 0.019
Ru2 0.000 0.750 0.981

Relative energies, unit eV/atom: a 0.173; b 0.000

a.
The following is a GGA-PBE calculation of a relaxed Ce2CdRu crystal, from Alexandria.

Properties
SG   Ima2

Lattice parameters (Å, degrees): 7.333 5.895 9.381 90.00 90.00 90.00
Element x y z (fractional)
Ce1 0.254 0.500 0.907
Ce2 0.754 0.500 0.093
Ce3 0.754 0.000 0.407
Ce4 0.254 0.000 0.593
Ce5 0.551 0.000 0.955
Ce6 0.051 0.000 0.045
Ce7 0.051 0.500 0.455
Ce8 0.551 0.500 0.545
Cd1 0.884 0.250 0.750
Cd2 0.384 0.750 0.250
Cd3 0.384 0.250 0.250
Cd4 0.884 0.750 0.750
Ru1 0.061 0.000 0.339
Ru2 0.561 0.000 0.661
Ru3 0.561 0.500 0.839
Ru4 0.061 0.500 0.161

b.
The following is a GGA-PBE calculation of a relaxed Ce2CdRu crystal, from Alexandria.

Properties
SG   Fm-3m

Lattice parameters (Å, degrees): 5.116 5.116 5.116 60.00 60.00 60.00
Element x y z (fractional)
Ru1 0.500 0.500 0.500
Ce1 0.250 0.250 0.250
Ce2 0.750 0.750 0.750
Cd1 0.000 0.000 0.000

Relative energies, unit eV/atom: a 0.000; b 0.054

a.
The following is a GGA-PBE calculation of a relaxed Ce2CdRu crystal, from Alexandria.

Properties
SG   R3m

Lattice parameters (Å, degrees): 3.986 3.986 8.311 76.13 76.13 60.00
Element x y z (fractional)
Ce1 0.064 0.064 0.808
Ce2 0.270 0.270 0.191
Cd1 0.499 0.499 0.502
Ru1 0.667 0.667 0.999

b.
The following is a GGA-PBE calculation of a relaxed Ce2CdRu crystal, from Alexandria.

Properties
SG   P4/mmm

Lattice parameters (Å, degrees): 3.259 3.259 8.806 90.00 90.00 90.00
Element x y z (fractional)
Ru1 0.500 0.500 0.000
Ce1 0.000 0.000 0.792
Ce2 0.000 0.000 0.208
Cd1 0.500 0.500 0.500

Relative energies, unit eV/atom: a 0.096; b 0.000

a.
The following is a GGA-PBE calculation of a relaxed CeCdRu2 crystal, from Alexandria.

Properties
SG   P4/mmm

Lattice parameters (Å, degrees): 3.563 4.522 4.522 90.00 90.00 90.00
Element x y z (fractional)
Ru1 0.000 0.000 0.500
Ru2 0.000 0.500 0.000
Ce1 0.500 0.500 0.500
Cd1 0.500 0.000 0.000

b.
The following is a GGA-PBE calculation of a relaxed CeCdRu2 crystal, from Alexandria.

Properties
SG   Fm-3m

Lattice parameters (Å, degrees): 4.702 4.702 4.702 60.00 60.00 60.00
Element x y z (fractional)
Ru1 0.250 0.250 0.250
Ru2 0.750 0.750 0.750
Ce1 0.500 0.500 0.500
Cd1 0.000 0.000 0.000

c.
The following is a GGA-PBE calculation of a relaxed CeCdRu2 crystal, from Alexandria.

Properties
SG   P4/mmm

Lattice parameters (Å, degrees): 3.383 3.383 6.404 90.00 90.00 90.00
Element x y z (fractional)
Ru1 0.000 0.000 0.765
Ru2 0.000 0.000 0.235
Ce1 0.500 0.500 0.000
Cd1 0.500 0.500 0.500

Relative energies, unit eV/atom: a 0.000; b 0.046; c 0.084

a.
The following is a GGA-PBE calculation of a relaxed CeTmCdRu crystal, from Alexandria.

Properties
SG   P4mm

Lattice parameters (Å, degrees): 3.331 3.331 8.304 90.00 90.00 90.00
Element x y z (fractional)
Ce1 0.500 0.500 0.776
Tm1 0.500 0.500 0.362
Cd1 0.000 0.000 0.081
Ru1 0.000 0.000 0.565

b.
The following is a GGA-PBE calculation of a relaxed CeTmCdRu crystal, from Alexandria.

Properties
SG   F-43m

Lattice parameters (Å, degrees): 5.048 5.048 5.048 60.00 60.00 60.00
Element x y z (fractional)
Ru1 0.750 0.750 0.750
Tm1 0.500 0.500 0.500
Ce1 0.000 0.000 0.000
Cd1 0.250 0.250 0.250

Relative energies, unit eV/atom: a 0.000; b 0.152

a.
The following is a GGA-PBE calculation of a relaxed Ce2CdS4 crystal, from Alexandria.

Properties
SG   Pbam

Lattice parameters (Å, degrees): 4.210 7.102 11.134 90.00 90.00 90.00
Element x y z (fractional)
Ce1 0.500 0.897 0.818
Ce2 0.500 0.103 0.182
Ce3 0.500 0.397 0.682
Ce4 0.500 0.603 0.318
Cd1 0.000 0.000 0.500
Cd2 0.000 0.500 0.000
S1 0.000 0.623 0.783
S2 0.000 0.377 0.217
S3 0.000 0.123 0.717
S4 0.000 0.877 0.283
S5 0.500 0.744 0.554
S6 0.500 0.256 0.446
S7 0.500 0.756 0.054
S8 0.500 0.244 0.946

b.
The following is a GGA-PBE calculation of a relaxed Ce2CdS4 crystal, from Alexandria.

Properties
SG   I-42d

Lattice parameters (Å, degrees): 7.416 7.416 7.416 110.87 110.87 106.70
Element x y z (fractional)
Ce1 0.875 0.262 0.887
Ce2 0.738 0.625 0.613
Ce3 0.375 0.988 0.113
Ce4 0.012 0.125 0.387
Cd1 0.500 0.500 0.000
Cd2 0.250 0.750 0.500
S1 0.004 0.741 0.122
S2 0.491 0.254 0.622
S3 0.259 0.381 0.263
S4 0.633 0.869 0.378
S5 0.746 0.367 0.237
S6 0.131 0.509 0.763
S7 0.117 0.996 0.737
S8 0.619 0.883 0.878

Relative energies, unit eV/atom: a 0.000; b 0.007

a.
The following is a GGA-PBE calculation of a relaxed Ce2CdSb crystal, from Alexandria.

Properties
SG   R-3m

Lattice parameters (Å, degrees): 4.343 4.343 8.395 75.01 75.01 60.00
Element x y z (fractional)
Sb1 0.000 0.000 0.000
Ce1 0.256 0.256 0.233
Ce2 0.744 0.744 0.767
Cd1 0.500 0.500 0.500

b.
The following is a GGA-PBE calculation of a relaxed Ce2CdSb crystal, from Alexandria.

Properties
SG   Fm-3m

Lattice parameters (Å, degrees): 5.415 5.415 5.415 60.00 60.00 60.00
Element x y z (fractional)
Sb1 0.000 0.000 0.000
Ce1 0.250 0.250 0.250
Ce2 0.750 0.750 0.750
Cd1 0.500 0.500 0.500

c.
The following is a GGA-PBE calculation of a relaxed Ce2CdSb crystal, from Alexandria.

Properties
SG   P4/mmm

Lattice parameters (Å, degrees): 4.078 4.078 6.763 90.00 90.00 90.00
Element x y z (fractional)
Sb1 0.500 0.500 0.000
Ce1 0.000 0.000 0.763
Ce2 0.000 0.000 0.237
Cd1 0.500 0.500 0.500

Relative energies, unit eV/atom: a 0.143; b 0.060; c 0.000

a.
The following is a GGA-PBE calculation of a relaxed CeSc2Cd crystal, from Alexandria.

Properties
SG   R-3m

Lattice parameters (Å, degrees): 3.304 3.304 10.498 80.95 80.95 60.00
Element x y z (fractional)
Sc1 0.253 0.253 0.240
Sc2 0.747 0.747 0.760
Ce1 0.500 0.500 0.500
Cd1 0.000 0.000 0.000

b.
The following is a GGA-PBE calculation of a relaxed CeSc2Cd crystal, from Alexandria.

Properties
SG   P4/mmm

Lattice parameters (Å, degrees): 3.409 3.409 8.280 90.00 90.00 90.00
Element x y z (fractional)
Sc1 0.000 0.000 0.768
Sc2 0.000 0.000 0.232
Ce1 0.500 0.500 0.500
Cd1 0.500 0.500 0.000

Relative energies, unit eV/atom: a 0.061; b 0.000

a.
The following is a GGA-PBE calculation of a relaxed CeSc2Cd crystal, from Alexandria.

Properties
SG   Fm-3m

Lattice parameters (Å, degrees): 5.111 5.111 5.111 60.00 60.00 60.00
Element x y z (fractional)
Sc1 0.250 0.250 0.250
Sc2 0.750 0.750 0.750
Ce1 0.000 0.000 0.000
Cd1 0.500 0.500 0.500

b.
The following is a GGA-PBE calculation of a relaxed CeSc2Cd crystal, from Alexandria.

Properties
SG   P4/mmm

Lattice parameters (Å, degrees): 4.538 4.689 4.689 90.00 90.00 90.00
Element x y z (fractional)
Sc1 0.000 0.000 0.500
Sc2 0.000 0.500 0.000
Ce1 0.500 0.000 0.000
Cd1 0.500 0.500 0.500

Relative energies, unit eV/atom: a 0.062; b 0.000